Ce2ScAs3Pt4 | GGA-PBE | optimized geometry

Geometry as extended XYZ:
```
10
Lattice="4.237 0.000 0.000 0.000 4.237 0.000 0.000 0.000 11.159" Properties=species:S:1:pos:R:3 pbc="T T T"
Ce 0.000 2.118 2.498
Ce 2.118 0.000 8.660
Sc 0.000 0.000 5.579
As 0.000 2.118 9.664
As 2.118 0.000 1.495
As 2.118 2.118 5.579
Pt 0.000 0.000 0.000
Pt 0.000 2.118 7.203
Pt 2.118 0.000 3.956
Pt 2.118 2.118 0.000
```

Calculated values
For the total energy, the calculation gives -6.573 eV per atom. Its space group is P-4m2, No. 115. The value obtained for the formation energy is -91 kJ/mol of atoms.



LiYSnHg | GGA-PBE | optimized geometry

Geometry as extended XYZ:
```
4
Lattice="0.000 3.614 3.614 3.614 0.000 3.614 3.614 3.614 0.000" Properties=species:S:1:pos:R:3 pbc="T T T"
Li 0.000 0.000 0.000
Y 3.614 3.614 3.614
Sn 5.422 5.422 5.422
Hg 1.807 1.807 1.807
```

Calculated values
For the total energy, the calculation gives -3.695 eV per atom. Its space group is F-43m, No. 216. The value obtained for the formation energy is -51 kJ/mol of atoms.



Ca2GeBPt6 | GGA-PBE | optimized geometry

Geometry as extended XYZ:
```
20
Lattice="5.743 0.000 0.000 0.000 8.627 0.000 0.000 0.000 7.297" Properties=species:S:1:pos:R:3 pbc="T T T"
Ca 1.436 0.320 1.533
Ca 1.436 3.993 1.533
Ca 4.307 4.634 5.764
Ca 4.307 8.307 5.764
Ge 1.436 6.470 5.929
Ge 4.307 2.157 1.369
B 1.436 2.157 5.126
B 4.307 6.470 2.172
Pt 0.027 6.470 0.653
Pt 0.072 6.470 3.646
Pt 1.436 0.025 4.695
Pt 1.436 4.289 4.695
Pt 2.799 6.470 3.646
Pt 2.844 6.470 0.653
Pt 2.898 2.157 6.645
Pt 2.943 2.157 3.652
Pt 4.307 4.338 2.602
Pt 4.307 8.603 2.602
Pt 5.671 2.157 3.652
Pt 5.716 2.157 6.645
```

Calculated values
For the total energy, the calculation gives -5.889 eV per atom. Its space group is Pmmn, No. 59. The value obtained for the formation energy is -71 kJ/mol of atoms.



Cs4Ho3AlO8 | GGA-PBE | optimized geometry

Geometry as extended XYZ:
```
16
Lattice="3.449 1.991 6.820 -3.449 1.991 6.820 0.000 -3.983 6.820" Properties=species:S:1:pos:R:3 pbc="T T T"
Cs 0.000 0.000 0.000
Cs -1.724 -0.996 6.820
Cs -1.724 0.996 13.639
Cs 0.000 1.991 6.820
Ho -3.449 0.000 10.229
Ho -1.724 0.996 3.410
Ho 1.724 0.996 3.410
Al 0.000 0.000 10.229
O 0.000 0.000 4.519
O -1.588 -0.917 11.302
O 0.000 -1.834 9.157
O -1.588 0.917 9.157
O 1.588 -0.917 11.302
O 0.000 1.834 11.302
O 1.588 0.917 9.157
O 0.000 0.000 15.940
```

Calculated values
For the total energy, the calculation gives -6.190 eV per atom. Its space group is R-3m, No. 166. The value obtained for the uncorrected formation energy is -2.41 eV/atom.



KSiRh | GGA-PBE | optimized geometry

Geometry as extended XYZ:
```
3
Lattice="0.000 3.198 3.198 3.198 0.000 3.198 3.198 3.198 0.000" Properties=species:S:1:pos:R:3 pbc="T T T"
K 0.000 0.000 0.000
Si 3.198 3.198 3.198
Rh 4.796 4.796 4.796
```

Calculated values
For the total energy, the calculation gives -4.053 eV per atom. The value obtained for the energy above the most stable polymorph in this dataset is 24.55 kcal/mol of atoms. Its space group is F-43m, No. 216. The value obtained for the uncorrected formation energy is 0.57 eV/atom.



NaCa4Sm3Se8 | GGA-PBE | optimized geometry

Geometry as extended XYZ:
```
16
Lattice="4.189 2.418 6.869 -4.189 2.418 6.869 0.000 -4.837 6.869" Properties=species:S:1:pos:R:3 pbc="T T T"
Na 0.000 0.000 0.000
Ca -4.189 0.000 10.303
Ca -2.094 1.209 3.434
Ca 2.094 1.209 3.434
Ca 0.000 0.000 10.303
Sm -2.094 -1.209 6.869
Sm -2.094 1.209 13.737
Sm 0.000 2.418 6.869
Se 0.000 0.000 5.144
Se 0.000 -2.398 8.587
Se -2.077 1.199 8.587
Se -2.077 -1.199 12.019
Se 2.077 1.199 8.587
Se 2.077 -1.199 12.019
Se 0.000 2.398 12.019
Se 0.000 0.000 15.462
```

Calculated values
For the total energy, the calculation gives -5.089 eV per atom. Its space group is R-3m, No. 166. The value obtained for the uncorrected formation energy is -1.88 eV/atom.



CdInB | GGA-PBE | optimized geometry

Geometry as extended XYZ:
```
6
Lattice="4.076 0.000 0.000 -0.040 4.588 0.000 -1.877 -0.413 6.562" Properties=species:S:1:pos:R:3 pbc="T T T"
Cd 0.000 0.000 0.000
Cd 0.147 1.929 5.888
In 0.044 4.331 3.899
In 2.074 1.863 2.854
B -0.021 2.242 0.661
B 0.030 2.993 2.054
```

Calculated values
For the total energy, the calculation gives -2.934 eV per atom. Its space group is P1, No. 1. The value obtained for the formation energy is 49 kJ/mol of atoms.



Ca2Ac4Ru | GGA-PBE | optimized geometry

Geometry as extended XYZ:
```
7
Lattice="-2.894 2.894 9.550 2.894 -2.894 9.550 2.894 2.894 -9.550" Properties=species:S:1:pos:R:3 pbc="T T T"
Ca 0.000 0.000 2.833
Ca 0.000 0.000 16.266
Ac 2.894 0.000 0.000
Ac 0.000 0.000 6.656
Ac 0.000 2.894 0.000
Ac 0.000 0.000 12.443
Ru 0.000 0.000 9.550
```

Calculated values
For the total energy, the calculation gives -4.160 eV per atom. Its space group is I4/mmm, No. 139. The value obtained for the formation energy is 8 kJ/mol of atoms.



BaLi2SbS4 | GGA-PBE | optimized geometry

Geometry as extended XYZ:
```
8
Lattice="-3.440 3.440 4.217 3.440 -3.440 4.217 3.440 3.440 -4.217" Properties=species:S:1:pos:R:3 pbc="T T T"
Ba 0.000 0.000 0.000
Li 3.440 0.000 2.109
Li 0.000 3.440 2.109
Sb 0.000 0.000 4.217
S 2.009 2.009 -1.489
S 1.430 -1.430 5.707
S 1.430 1.430 2.728
S -1.430 1.430 5.707
```

Calculated values
For the total energy, the calculation gives -4.359 eV per atom. Its space group is I-42m, No. 121. The value obtained for the uncorrected formation energy is -1.06 eV/atom.



DyTmTi | GGA-PBE | optimized geometry

Geometry as extended XYZ:
```
6
Lattice="3.535 0.000 0.000 0.000 3.535 0.000 0.000 0.000 12.636" Properties=species:S:1:pos:R:3 pbc="T T T"
Dy 0.884 0.884 1.219
Dy 2.651 2.651 11.417
Tm 0.884 0.884 8.821
Tm 2.651 2.651 3.815
Ti 0.884 0.884 5.766
Ti 2.651 2.651 6.870
```

Calculated values
For the total energy, the calculation gives -5.575 eV per atom. The value obtained for the energy above the most stable polymorph in this dataset is 0.00 kcal/mol of atoms. Its space group is P4/nmm, No. 129. The value obtained for the formation energy is 8 kJ/mol of atoms.



Pr7Dy2 | GGA-PBE | optimized geometry

Geometry as extended XYZ:
```
9
Lattice="10.077 0.000 0.000 -5.038 8.727 0.000 0.000 0.000 3.606" Properties=species:S:1:pos:R:3 pbc="T T T"
Pr 0.000 0.000 0.000
Pr -1.821 3.154 0.000
Pr -3.479 6.025 1.803
Pr 1.559 2.701 1.803
Pr 3.642 0.000 0.000
Pr 3.217 5.572 0.000
Pr 6.958 0.000 1.803
Dy 0.000 5.818 1.803
Dy 5.038 2.909 1.803
```

Calculated values
For the total energy, the calculation gives -4.702 eV per atom. The value obtained for the energy above the most stable polymorph in this dataset is 0.52 kcal/mol of atoms. Its space group is P-62m, No. 189. The value obtained for the formation energy is 4 kJ/mol of atoms.



RbMn | GGA-PBE | optimized geometry

Geometry as extended XYZ:
```
2
Lattice="0.000 4.277 4.277 4.277 0.000 4.277 4.277 4.277 0.000" Properties=species:S:1:pos:R:3 pbc="T T T"
Rb 0.000 0.000 0.000
Mn 2.139 2.139 2.139
```

Calculated values
For the total energy, the calculation gives -3.418 eV per atom. The value obtained for the energy above the most stable polymorph in this dataset is 19.64 kcal/mol of atoms. Its space group is F-43m, No. 216. The value obtained for the formation energy is 159 kJ/mol of atoms.